[1]
Here is an optimized crystal structure of ScTc3N from Alexandria via LeMat-Bulk. Energies are from PBE-GGA.

For the uncorrected formation energy, the calculation gives -0.186 eV per atom. Its excess energy over the best structure of this formula in the dataset is 0 meV/atom. Its total magnetic moment is 0.6 μB/cell. Its density of states at the Fermi level is 1.719 states/eV per atom. The total energy is -9.34 eV per atom.

Geometry as CIF:
```
data_ScTc3N
_chemical_formula_sum 'Sc1 Tc3 N1'
_cell_length_a 4.120
_cell_length_b 4.120
_cell_length_c 4.120
_cell_angle_alpha 90.00
_cell_angle_beta 90.00
_cell_angle_gamma 90.00
_space_group_name_H-M_alt 'P m -3 m'
_space_group_IT_number 221
_space_group_name_Hall '-P 4 2 3'
loop_
_atom_site_label
_atom_site_fract_x
_atom_site_fract_y
_atom_site_fract_z
Sc1 0.000 0.000 0.000
Tc1 0.000 0.500 0.500
N1 0.500 0.500 0.500
```

***

[2]
Here is an optimized crystal structure of SmY2Hf from Alexandria via LeMat-Bulk. Energies are from PBE-GGA.

The energy of formation from the pure elements is 48 kJ/mol of formula units. Its excess energy over the best structure of this formula in the dataset is 0 meV/atom. Its total magnetic moment is 0.0 μB/cell. Its density of states at the Fermi level is 1.474 states/eV per atom. The total energy is -6.78 eV per atom.

Geometry as CIF:
```
data_SmY2Hf
_chemical_formula_sum 'Sm3 Y6 Hf3'
_cell_length_a 3.4659
_cell_length_b 3.4659
_cell_length_c 33.9158
_cell_angle_alpha 90.00
_cell_angle_beta 90.00
_cell_angle_gamma 120.00
_space_group_name_H-M_alt 'R 3 m'
_space_group_IT_number 160
_space_group_name_Hall 'R 3 -2"'
loop_
_atom_site_label
_atom_site_fract_x
_atom_site_fract_y
_atom_site_fract_z
Sm1 0.0000 0.0000 0.0000
Y1 0.0000 0.0000 0.5772
Y2 0.0000 0.0000 0.7559
Hf1 0.0000 0.0000 0.1662
```

***

[3]
Here is an optimized crystal structure of CsLi2Pt2 from Alexandria via LeMat-Bulk. Energies are from PBE-GGA.

The energy of formation from the pure elements is -44 kJ/mol of formula units. Its excess energy over the best structure of this formula in the dataset is 11 meV/atom. Its total magnetic moment is 0.0 μB/cell. Its density of states at the Fermi level is 0.651 states/eV per atom. The total energy is -3.44 eV per atom.

Geometry as CIF:
```
data_CsLi2Pt2
_chemical_formula_sum 'Cs2 Li4 Pt4'
_cell_length_a 4.733
_cell_length_b 4.733
_cell_length_c 10.067
_cell_angle_alpha 90.00
_cell_angle_beta 90.00
_cell_angle_gamma 90.00
_space_group_name_H-M_alt 'I 4/m m m'
_space_group_IT_number 139
_space_group_name_Hall '-I 4 2'
loop_
_atom_site_label
_atom_site_fract_x
_atom_site_fract_y
_atom_site_fract_z
Cs1 0.000 0.000 0.000
Li1 0.000 0.500 0.250
Pt1 0.000 0.000 0.372
```

***

[4]
Here is an optimized crystal structure of Sr2PbAu3 from Alexandria via LeMat-Bulk. Energies are from PBE-GGA.

The energy of formation from the pure elements is -359 kJ/mol of formula units. Its excess energy over the best structure of this formula in the dataset is 0 meV/atom. Its total magnetic moment is 0.0 μB/cell. Its density of states at the Fermi level is 0.462 states/eV per atom. The total energy is -3.44 eV per atom.

Geometry as CIF:
```
data_Sr2PbAu3
_chemical_formula_sum 'Sr16 Pb8 Au24'
_cell_length_a 7.989
_cell_length_b 9.765
_cell_length_c 17.060
_cell_angle_alpha 90.00
_cell_angle_beta 90.00
_cell_angle_gamma 90.00
_space_group_name_H-M_alt 'F m m m'
_space_group_IT_number 69
_space_group_name_Hall '-F 2 2'
loop_
_atom_site_label
_atom_site_fract_x
_atom_site_fract_y
_atom_site_fract_z
Sr1 0.239 0.000 0.000
Sr2 0.250 0.250 0.250
Pb1 0.000 0.000 0.334
Au1 0.000 0.000 0.166
Au2 0.000 0.247 0.082
```

***

[5]
Here is an optimized crystal structure of KCu2HgF8 from Alexandria via LeMat-Bulk. Energies are from PBE-GGA.

For the uncorrected formation energy, the calculation gives -1.651 eV per atom. Its total magnetic moment is 1.8 μB/cell. Its density of states at the Fermi level is 0.143 states/eV per atom. The total energy is -3.70 eV per atom.

Geometry as CIF:
```
data_KCu2HgF8
_chemical_formula_sum 'K2 Cu4 Hg2 F16'
_cell_length_a 5.769
_cell_length_b 5.769
_cell_length_c 10.144
_cell_angle_alpha 90.00
_cell_angle_beta 90.00
_cell_angle_gamma 90.00
_space_group_name_H-M_alt 'I -4'
_space_group_IT_number 82
loop_
_space_group_symop_operation_xyz
'x,y,z'
'y,-x,-z'
'-x,-y,z'
'-y,x,-z'
'x+1/2,y+1/2,z+1/2'
'y+1/2,-x+1/2,-z+1/2'
'-x+1/2,-y+1/2,z+1/2'
'-y+1/2,x+1/2,-z+1/2'
loop_
_atom_site_label
_atom_site_fract_x
_atom_site_fract_y
_atom_site_fract_z
K1 0.000 0.000 0.000
Cu1 0.000 0.000 0.500
Cu2 0.000 0.500 0.250
Hg1 0.000 0.500 0.750
F1 0.056 0.304 0.511
F2 0.158 0.791 0.236
```

***

[6]
Here is an optimized crystal structure of TaMn2B2 from Alexandria via LeMat-Bulk. Energies are from PBE-GGA.

The energy of formation from the pure elements is -128 kJ/mol of formula units. Its total magnetic moment is 0.0 μB/cell. Its density of states at the Fermi level is 0.529 states/eV per atom. The total energy is -8.98 eV per atom.

Geometry as CIF:
```
data_TaMn2B2
_chemical_formula_sum 'Ta2 Mn4 B4'
_cell_length_a 5.965
_cell_length_b 5.965
_cell_length_c 2.817
_cell_angle_alpha 90.00
_cell_angle_beta 90.00
_cell_angle_gamma 90.00
_space_group_name_H-M_alt 'P 4/m b m'
_space_group_IT_number 127
_space_group_name_Hall '-P 4 2ab'
loop_
_atom_site_label
_atom_site_fract_x
_atom_site_fract_y
_atom_site_fract_z
Ta1 0.000 0.000 0.000
Mn1 0.162 0.338 0.500
B1 0.112 0.612 0.000
```

***

[7]
Here is an optimized crystal structure of LuThTlBi from Alexandria via LeMat-Bulk. Energies are from PBE-GGA.

The energy of formation from the pure elements is -95 kJ/mol of formula units. Its total magnetic moment is 0.0 μB/cell. Its density of states at the Fermi level is 1.478 states/eV per atom. The total energy is -4.79 eV per atom.

Geometry as CIF:
```
data_LuThTlBi
_chemical_formula_sum 'Lu4 Th4 Tl4 Bi4'
_cell_length_a 7.743
_cell_length_b 7.743
_cell_length_c 7.743
_cell_angle_alpha 90.00
_cell_angle_beta 90.00
_cell_angle_gamma 90.00
_space_group_name_H-M_alt 'F -4 3 m'
_space_group_IT_number 216
_space_group_name_Hall 'F -4 2 3'
loop_
_atom_site_label
_atom_site_fract_x
_atom_site_fract_y
_atom_site_fract_z
Lu1 0.000 0.000 0.000
Th1 0.000 0.000 0.500
Tl1 0.250 0.250 0.250
Bi1 0.250 0.250 0.750
```

***

[8]
Here is an optimized crystal structure of NaPO4 from Alexandria via LeMat-Bulk. Energies are from PBE-GGA.

For the uncorrected formation energy, the calculation gives -1.262 eV per atom. Its excess energy over the best structure of this formula in the dataset is 556 meV/atom. Its total magnetic moment is 0.0 μB/cell. Its density of states at the Fermi level is 0.000 states/eV per atom. The total energy is -5.69 eV per atom.

Geometry as CIF:
```
data_NaPO4
_chemical_formula_sum 'Na4 P4 O16'
_cell_length_a 10.157
_cell_length_b 5.493
_cell_length_c 5.455
_cell_angle_alpha 90.00
_cell_angle_beta 122.35
_cell_angle_gamma 90.00
_space_group_name_H-M_alt 'C 1 2/c 1'
_space_group_IT_number 15
loop_
_space_group_symop_operation_xyz
'x,y,z'
'-x,-y,-z'
'-x,y,-z+1/2'
'x,-y,z+1/2'
'x+1/2,y+1/2,z'
'-x+1/2,-y+1/2,-z'
'-x+1/2,y+1/2,-z+1/2'
'x+1/2,-y+1/2,z+1/2'
loop_
_atom_site_label
_atom_site_fract_x
_atom_site_fract_y
_atom_site_fract_z
Na1 0.000 0.218 0.250
P1 0.250 0.250 0.000
O1 0.069 0.355 0.731
O2 0.188 0.098 0.156
```

***

[9]
Here is an optimized crystal structure of LiAcIn2 from Alexandria via LeMat-Bulk. Energies are from PBE-GGA.

The energy of formation from the pure elements is -153 kJ/mol of formula units. Its total magnetic moment is 0.0 μB/cell. Its density of states at the Fermi level is 0.563 states/eV per atom. The total energy is -3.27 eV per atom.

Geometry as CIF:
```
data_LiAcIn2
_chemical_formula_sum 'Li3 Ac3 In6'
_cell_length_a 4.7796
_cell_length_b 4.7796
_cell_length_c 17.4700
_cell_angle_alpha 90.00
_cell_angle_beta 90.00
_cell_angle_gamma 120.00
_space_group_name_H-M_alt 'R -3 m'
_space_group_IT_number 166
_space_group_name_Hall '-R 3 2"'
loop_
_atom_site_label
_atom_site_fract_x
_atom_site_fract_y
_atom_site_fract_z
Li1 0.0000 0.0000 0.0000
Ac1 0.0000 0.0000 0.5000
In1 0.0000 0.0000 0.2899
```

***

[10]
Here is an optimized crystal structure of TaCo2Br from Alexandria via LeMat-Bulk. Energies are from PBE-GGA.

For the uncorrected formation energy, the calculation gives 0.345 eV per atom. Its excess energy over the best structure of this formula in the dataset is 201 meV/atom. Its total magnetic moment is 4.2 μB/cell. Its density of states at the Fermi level is 1.267 states/eV per atom. The total energy is -6.59 eV per atom.

Geometry as CIF:
```
data_TaCo2Br
_chemical_formula_sum 'Ta3 Co6 Br3'
_cell_length_a 3.1468
_cell_length_b 3.1468
_cell_length_c 22.6087
_cell_angle_alpha 90.00
_cell_angle_beta 90.00
_cell_angle_gamma 120.00
_space_group_name_H-M_alt 'R -3 m'
_space_group_IT_number 166
_space_group_name_Hall '-R 3 2"'
loop_
_atom_site_label
_atom_site_fract_x
_atom_site_fract_y
_atom_site_fract_z
Ta1 0.0000 0.0000 0.0000
Co1 0.0000 0.0000 0.2559
Br1 0.0000 0.0000 0.5000
```

***

Question: What is the formula in the second record?
Answer: SmY2Hf

***

Question: The highest total magnetic moment belongs to which entry?
Answer: TaCo2Br